HoMn2O4 (PBE+U, relaxed); energy above the most stable polymorph in this dataset = 0.0 meV/atom; magnetic moment = 9.0 μB/f.u.; energy = -222.09 eV/cell
1.0
3.1768 0.0000 0.0000
0.0000 10.0087 0.0000
0.0000 0.0000 10.3109
Mn O Ho
8 16 4
Direct
0.8027 0.0700 0.1147
0.8027 0.5700 0.3853
0.7678 0.9333 0.3769
0.2322 0.4333 0.6231
0.1973 0.0700 0.6147
0.1973 0.5700 0.8853
0.2322 0.9333 0.8769
0.7678 0.4333 0.1231
0.7898 0.7565 0.2951
0.3243 0.9883 0.2455
0.1837 0.8813 0.5204
0.1837 0.3813 0.9796
0.2365 0.1127 0.9541
0.6757 0.9883 0.7455
0.8163 0.8813 0.0204
0.7635 0.6127 0.0459
0.7898 0.2565 0.2049
0.6757 0.4883 0.7545
0.8163 0.3813 0.4796
0.2365 0.6127 0.5459
0.2102 0.2565 0.7049
0.3243 0.4883 0.2545
0.2102 0.7565 0.7951
0.7635 0.1127 0.4541
0.2930 0.7579 0.1393
0.7070 0.7579 0.6393
0.7070 0.2579 0.8607
0.2930 0.2579 0.3607